Model A:
# Ac2CeGa6, optimized geometry, DFT PBE
data_Ac2CeGa6
_chemical_formula_sum 'Ac2 Ce1 Ga6'
_space_group_name_H-M_alt 'P 6/m m m'
_space_group_IT_number 191
_space_group_name_Hall '-P 6 2'
_cell_length_a 7.5478
_cell_length_b 7.5478
_cell_length_c 4.5638
_cell_angle_alpha 90.00
_cell_angle_beta 90.00
_cell_angle_gamma 120.00
loop_
_atom_site_label
_atom_site_type_symbol
_atom_site_fract_x
_atom_site_fract_y
_atom_site_fract_z
Ac1 Ac 0.3333 0.6667 0.0000
Ce1 Ce 0.0000 0.0000 0.0000
Ga1 Ga 0.0000 0.3289 0.5000
# - theoretical density (g/cm3) = 7.467
# - calculated volume (Å³/cell) = 225

=====

Model B:
# Ac2CeGa6, optimized geometry, DFT PBE
data_Ac2CeGa6
_chemical_formula_sum 'Ac4 Ce2 Ga12'
_space_group_name_H-M_alt 'I m m m'
_space_group_IT_number 71
_space_group_name_Hall '-I 2 2'
_cell_length_a 3.800
_cell_length_b 7.829
_cell_length_c 15.863
_cell_angle_alpha 90.00
_cell_angle_beta 90.00
_cell_angle_gamma 90.00
loop_
_atom_site_label
_atom_site_type_symbol
_atom_site_fract_x
_atom_site_fract_y
_atom_site_fract_z
Ac1 Ac 0.000 0.000 0.171
Ce1 Ce 0.000 0.500 0.000
Ga1 Ga 0.000 0.165 0.361
Ga2 Ga 0.000 0.337 0.500
# - theoretical density (g/cm3) = 7.125
# - calculated volume (Å³/cell) = 472

=====

It is model B that is the least stable of them.

=====

Model A:
# AcCeGe, optimized geometry, DFT PBE
data_AcCeGe
_chemical_formula_sum 'Ac1 Ce1 Ge1'
_space_group_name_H-M_alt 'P 3 m 1'
_space_group_IT_number 156
_space_group_name_Hall 'P 3 -2"'
_cell_length_a 4.8785
_cell_length_b 4.8785
_cell_length_c 4.5195
_cell_angle_alpha 90.00
_cell_angle_beta 90.00
_cell_angle_gamma 120.00
loop_
_atom_site_label
_atom_site_type_symbol
_atom_site_fract_x
_atom_site_fract_y
_atom_site_fract_z
Ac1 Ac 0.0000 0.0000 0.0000
Ce1 Ce 0.6667 0.3333 0.4498
Ge1 Ge 0.3333 0.6667 0.6222
# - theoretical density (g/cm3) = 7.839
# - calculated volume (Å³/cell) = 93

=====

Model B:
# AcCeGe, optimized geometry, DFT PBE
data_AcCeGe
_chemical_formula_sum 'Ac2 Ce2 Ge2'
_space_group_name_H-M_alt 'P 4/n m m'
_space_group_IT_number 129
_cell_length_a 4.491
_cell_length_b 4.491
_cell_length_c 8.822
_cell_angle_alpha 90.00
_cell_angle_beta 90.00
_cell_angle_gamma 90.00
loop_
_space_group_symop_operation_xyz
'x,y,z'
'-x,-y,-z'
'-y+1/2,x,z'
'y+1/2,-x,-z'
'-x+1/2,-y+1/2,z'
'x+1/2,y+1/2,-z'
'y,-x+1/2,z'
'-y,x+1/2,-z'
'x+1/2,-y,-z'
'-x+1/2,y,z'
'-y,-x,-z'
'y,x,z'
'-x,y+1/2,-z'
'x,-y+1/2,z'
'y+1/2,x+1/2,-z'
'-y+1/2,-x+1/2,z'
loop_
_atom_site_label
_atom_site_type_symbol
_atom_site_fract_x
_atom_site_fract_y
_atom_site_fract_z
Ac1 Ac 0.250 0.250 0.141
Ce1 Ce 0.250 0.750 0.500
Ge1 Ge 0.250 0.250 0.749
# - theoretical density (g/cm3) = 8.207
# - calculated volume (Å³/cell) = 178

=====

Model C:
# AcCeGe, optimized geometry, DFT PBE
data_AcCeGe
_chemical_formula_sum 'Ac4 Ce4 Ge4'
_space_group_name_H-M_alt 'F -4 3 m'
_space_group_IT_number 216
_space_group_name_Hall 'F -4 2 3'
_cell_length_a 7.342
_cell_length_b 7.342
_cell_length_c 7.342
_cell_angle_alpha 90.00
_cell_angle_beta 90.00
_cell_angle_gamma 90.00
loop_
_atom_site_label
_atom_site_type_symbol
_atom_site_fract_x
_atom_site_fract_y
_atom_site_fract_z
Ac1 Ac 0.000 0.000 0.000
Ce1 Ce 0.000 0.000 0.500
Ge1 Ge 0.250 0.250 0.250
# - theoretical density (g/cm3) = 7.380
# - calculated volume (Å³/cell) = 396

=====

It is model A that is the least stable of them.